Record 1
This record from Alexandria via LeMat-Bulk describes Hf2TaTc2 after structural relaxation. The functional is PBE-GGA.

Lattice parameters (Å, degrees): 3.171 3.188 9.610 80.45 90.00 90.00
Element x y z (fractional)
Hf 0.000 0.170 0.661
Hf 0.000 0.830 0.339
Ta 0.000 0.000 0.000
Tc 0.500 0.415 0.169
Tc 0.500 0.585 0.831

Output
The calculated total energy is -0.39406 hartree per atom. The magnetization comes out at 0.000 μB per atom. For the density, the calculation gives 12.72 Mg/m³. Its formation enthalpy at 0 K is -0.22 eV per atom. As for the space group: Cmmm. The calculation puts the energy above the most stable polymorph in this dataset at 0 meV/atom.



Record 2
This record from Alexandria via LeMat-Bulk describes Hf2TaTc after structural relaxation. The functional is PBE-GGA.

Lattice parameters (Å, degrees): 3.256 3.256 7.087 90.00 90.00 90.00
Element x y z (fractional)
Hf 0.000 0.000 0.775
Hf 0.000 0.000 0.225
Tc 0.500 0.500 0.000
Ta 0.500 0.500 0.500

Output
The calculated total energy is -0.39358 hartree per atom. The magnetization comes out at 0.000 μB per atom. For the density, the calculation gives 14.05 Mg/m³. Its formation enthalpy at 0 K is -0.18 eV per atom. As for the space group: P4/mmm. The calculation puts the energy above the most stable polymorph in this dataset at 0 meV/atom.



Record 3
This record from Alexandria via LeMat-Bulk describes Hf2TaTc2 after structural relaxation. The functional is PBE-GGA.

Lattice parameters (Å, degrees): 7.741 7.741 3.051 90.00 90.00 90.00
Element x y z (fractional)
Hf 0.359 0.859 0.000
Hf 0.859 0.641 0.000
Hf 0.641 0.141 0.000
Hf 0.141 0.359 0.000
Tc 0.163 0.663 0.500
Tc 0.663 0.837 0.500
Tc 0.837 0.337 0.500
Tc 0.337 0.163 0.500
Ta 0.000 0.000 0.000
Ta 0.500 0.500 0.000

Output
The calculated total energy is -0.37697 hartree per atom. The magnetization comes out at 0.000 μB per atom. For the density, the calculation gives 13.33 Mg/m³. Its formation enthalpy at 0 K is 0.24 eV per atom. As for the space group: P4/mbm. The calculation puts the energy above the most stable polymorph in this dataset at 465 meV/atom.



Record 4
This record from Alexandria via LeMat-Bulk describes HfTa2Tc after structural relaxation. The functional is PBE-GGA.

Lattice parameters (Å, degrees): 4.643 4.643 4.643 60.00 60.00 60.00
Element x y z (fractional)
Hf 0.500 0.500 0.500
Tc 0.000 0.000 0.000
Ta 0.250 0.250 0.250
Ta 0.750 0.750 0.750

Output
The calculated total energy is -0.40715 hartree per atom. The magnetization comes out at 0.000 μB per atom. For the density, the calculation gives 14.98 Mg/m³. Its formation enthalpy at 0 K is -0.07 eV per atom. As for the space group: Fm-3m. The calculation puts the energy above the most stable polymorph in this dataset at 196 meV/atom.



Record 5
This record from Alexandria via LeMat-Bulk describes Hf2TaTc2 after structural relaxation. The functional is PBE-GGA.

Lattice parameters (Å, degrees): 6.641 6.641 4.330 90.00 90.00 90.00
Element x y z (fractional)
Hf 0.180 0.680 0.500
Hf 0.680 0.820 0.500
Hf 0.820 0.320 0.500
Hf 0.320 0.180 0.500
Tc 0.366 0.866 0.000
Tc 0.866 0.634 0.000
Tc 0.634 0.134 0.000
Tc 0.134 0.366 0.000
Ta 0.000 0.000 0.000
Ta 0.500 0.500 0.000

Output
The calculated total energy is -0.38894 hartree per atom. The magnetization comes out at 0.000 μB per atom. For the density, the calculation gives 12.76 Mg/m³. Its formation enthalpy at 0 K is -0.09 eV per atom. As for the space group: P4/mbm. The calculation puts the energy above the most stable polymorph in this dataset at 139 meV/atom.



Record 6
This record from Alexandria via LeMat-Bulk describes HfTa3Tc after structural relaxation. The functional is PBE-GGA.

Lattice parameters (Å, degrees): 4.809 4.809 4.809 90.00 90.00 90.00
Element x y z (fractional)
Hf 0.000 0.000 0.000
Tc 0.500 0.500 0.500
Ta 0.000 0.500 0.000
Ta 0.000 0.000 0.500
Ta 0.500 0.000 0.000

Output
The calculated total energy is -0.32802 hartree per atom. The magnetization comes out at 0.000 μB per atom. For the density, the calculation gives 12.23 Mg/m³. Its formation enthalpy at 0 K is 2.25 eV per atom. As for the space group: Pm-3m. The calculation puts the energy above the most stable polymorph in this dataset at 1249 meV/atom.



Record 7
This record from Alexandria via LeMat-Bulk describes Hf2TaTc3 after structural relaxation. The functional is PBE-GGA.

Lattice parameters (Å, degrees): 3.229 3.229 9.753 90.00 90.00 90.00
Element x y z (fractional)
Hf 0.500 0.500 0.832
Hf 0.500 0.500 0.168
Ta 0.500 0.500 0.500
Tc 0.000 0.000 0.000
Tc 0.000 0.000 0.659
Tc 0.000 0.000 0.341

Output
The calculated total energy is -0.40343 hartree per atom. The magnetization comes out at 0.000 μB per atom. For the density, the calculation gives 13.58 Mg/m³. Its formation enthalpy at 0 K is -0.50 eV per atom. As for the space group: P4/mmm.



Record 8
This record from Alexandria via LeMat-Bulk describes HfTa3Tc after structural relaxation. The functional is PBE-GGA.

Lattice parameters (Å, degrees): 4.797 4.797 4.797 90.00 90.00 90.00
Element x y z (fractional)
Hf 0.500 0.500 0.500
Tc 0.000 0.000 0.000
Ta 0.000 0.500 0.000
Ta 0.000 0.000 0.500
Ta 0.500 0.000 0.000

Output
The calculated total energy is -0.37392 hartree per atom. The magnetization comes out at 0.000 μB per atom. For the density, the calculation gives 12.32 Mg/m³. Its formation enthalpy at 0 K is 1.00 eV per atom. As for the space group: Pm-3m. The calculation puts the energy above the most stable polymorph in this dataset at 0 meV/atom.



Record 9
This record from Alexandria via LeMat-Bulk describes HfTa2Tc2 after structural relaxation. The functional is PBE-GGA.

Lattice parameters (Å, degrees): 3.195 3.203 8.883 79.61 90.00 90.00
Element x y z (fractional)
Hf 0.000 0.000 0.000
Ta 0.000 0.182 0.636
Ta 0.000 0.818 0.364
Tc 0.500 0.403 0.195
Tc 0.500 0.597 0.805

Output
The calculated total energy is -0.40302 hartree per atom. The magnetization comes out at 0.000 μB per atom. For the density, the calculation gives 13.67 Mg/m³. Its formation enthalpy at 0 K is -0.09 eV per atom. As for the space group: Cmmm. The calculation puts the energy above the most stable polymorph in this dataset at 0 meV/atom.



Record 10
This record from Alexandria via LeMat-Bulk describes Hf4TaTc5 after structural relaxation. The functional is PBE-GGA.

Lattice parameters (Å, degrees): 3.243 3.243 16.271 90.00 90.00 90.00
Element x y z (fractional)
Hf 0.000 0.000 0.198
Hf 0.000 0.000 0.399
Hf 0.000 0.000 0.601
Hf 0.000 0.000 0.802
Ta 0.000 0.000 0.000
Tc 0.500 0.500 0.095
Tc 0.500 0.500 0.298
Tc 0.500 0.500 0.500
Tc 0.500 0.500 0.702
Tc 0.500 0.500 0.905

Output
The calculated total energy is -0.39834 hartree per atom. The magnetization comes out at 0.000 μB per atom. For the density, the calculation gives 13.44 Mg/m³. Its formation enthalpy at 0 K is -0.49 eV per atom. As for the space group: P4/mmm.



Record 11
This record from Alexandria via LeMat-Bulk describes Hf2TaTc after structural relaxation. The functional is PBE-GGA.

Lattice parameters (Å, degrees): 7.516 7.516 6.026 51.42 51.42 90.00
Element x y z (fractional)
Hf 0.592 0.125 0.250
Hf 0.158 0.625 0.250
Hf 0.375 0.408 0.750
Hf 0.875 0.842 0.750
Tc 0.500 0.500 0.000
Tc 0.250 0.750 0.500
Ta 0.000 0.000 0.000
Ta 0.750 0.250 0.500

Output
The calculated total energy is -0.37032 hartree per atom. The magnetization comes out at 0.000 μB per atom. For the density, the calculation gives 13.16 Mg/m³. Its formation enthalpy at 0 K is 0.45 eV per atom. As for the space group: I-42d. The calculation puts the energy above the most stable polymorph in this dataset at 633 meV/atom.



Record 12
This record from Alexandria via LeMat-Bulk describes HfTaTiTc after structural relaxation. The functional is PBE-GGA.

Lattice parameters (Å, degrees): 4.619 4.619 4.619 60.00 60.00 60.00
Element x y z (fractional)
Ti 0.500 0.500 0.500
Hf 0.750 0.750 0.750
Tc 0.000 0.000 0.000
Ta 0.250 0.250 0.250

Output
The calculated total energy is -0.37440 hartree per atom. The magnetization comes out at 0.215 μB per atom. For the density, the calculation gives 12.04 Mg/m³. Its formation enthalpy at 0 K is -0.17 eV per atom. As for the space group: F-43m.



The highest formation enthalpy at 0 K belongs to which entry? number 6